(a)
Here is a relaxed AcSc2Au crystal from Alexandria via LeMat-Bulk. Energies are from GGA-PBE.

Summary:
- SG: P4/mmm
- DOS at the Fermi energy: 1.162 states/eV per atom

a b c (Å): 3.554 3.554 8.284
angles (deg): 90.00 90.00 90.00
Atoms (fractional coordinates):
1 Sc 0.000 0.000 0.812
2 Sc 0.000 0.000 0.188
3 Ac 0.500 0.500 0.500
4 Au 0.500 0.500 0.000

=====

(b)
Here is a relaxed AcSc2Au crystal from Alexandria via LeMat-Bulk. Energies are from GGA-PBE.

Summary:
- SG: P4/mmm
- DOS at the Fermi energy: 1.420 states/eV per atom

a b c (Å): 5.021 4.591 4.591
angles (deg): 90.00 90.00 90.00
Atoms (fractional coordinates):
1 Sc 0.000 0.000 0.500
2 Sc 0.000 0.500 0.000
3 Ac 0.500 0.500 0.500
4 Au 0.500 0.000 0.000

=====

The relative energies come out as (a) 0.0; (b) 17.2, with values in kJ/mol of atoms.